[1]
## Sr3Tl2Pd2 (PBE)

Data for Sr3Tl2Pd2 after structural relaxation.

Cell lengths 6.2532, 8.5720, 15.2570 Å; angles 90.00, 90.00, 90.00 degrees
Last column: nearest neighbours and their distance in Å.
Fractional positions:
Sr1 0.1234 0.2433 0.2500  3 Tl 3.37-3.39, 4 Pd 3.40-3.42
Sr2 0.1234 0.2567 0.7500  3 Tl 3.37-3.39, 4 Pd 3.40-3.42
Sr3 0.3447 0.6008 0.0940  4 Pd 3.20-3.48, 3 Tl 3.44-3.55
Sr4 0.3447 0.6008 0.4060  4 Pd 3.20-3.48, 3 Tl 3.44-3.55
Sr5 0.3447 0.8992 0.5940  4 Pd 3.20-3.48, 3 Tl 3.44-3.55
Sr6 0.3447 0.8992 0.9060  4 Pd 3.20-3.48, 3 Tl 3.44-3.55
Sr7 0.6553 0.1008 0.0940  4 Pd 3.20-3.48, 3 Tl 3.44-3.55
Sr8 0.6553 0.1008 0.4060  4 Pd 3.20-3.48, 3 Tl 3.44-3.55
Sr9 0.6553 0.3992 0.5940  4 Pd 3.20-3.48, 3 Tl 3.44-3.55
Sr10 0.6553 0.3992 0.9060  4 Pd 3.20-3.48, 3 Tl 3.44-3.55
Sr11 0.8766 0.7433 0.2500  3 Tl 3.37-3.39, 4 Pd 3.40-3.42
Sr12 0.8766 0.7567 0.7500  3 Tl 3.37-3.39, 4 Pd 3.40-3.42
Tl1 0.1487 0.2500 0.0000  4 Pd 2.88-2.90
Tl2 0.1487 0.2500 0.5000  4 Pd 2.88-2.90
Tl3 0.3758 0.6043 0.7500  2 Pd 2.87
Tl4 0.3758 0.8957 0.2500  2 Pd 2.87
Tl5 0.6242 0.1043 0.7500  2 Pd 2.87
Tl6 0.6242 0.3957 0.2500  2 Pd 2.87
Tl7 0.8513 0.7500 0.0000  4 Pd 2.88-2.90
Tl8 0.8513 0.7500 0.5000  4 Pd 2.88-2.90
Pd1 0.1341 0.5405 0.5943  3 Tl 2.87-2.90, 1 Sr 3.20
Pd2 0.1341 0.5405 0.9057  3 Tl 2.87-2.90, 1 Sr 3.20
Pd3 0.1341 0.9595 0.0943  3 Tl 2.87-2.90, 1 Sr 3.20
Pd4 0.1341 0.9595 0.4057  3 Tl 2.87-2.90, 1 Sr 3.20
Pd5 0.8659 0.0405 0.5943  3 Tl 2.87-2.90, 1 Sr 3.20
Pd6 0.8659 0.0405 0.9057  3 Tl 2.87-2.90, 1 Sr 3.20
Pd7 0.8659 0.4595 0.0943  3 Tl 2.87-2.90, 1 Sr 3.20
Pd8 0.8659 0.4595 0.4057  3 Tl 2.87-2.90, 1 Sr 3.20

Properties
density of states at the Fermi level: 3.7 states/eV/f.u.
energy of formation: -530.6 meV per atom



[2]
## SrAs2Se (PBE)

Data for SrAs2Se after structural relaxation.

Cell lengths 5.8436, 5.8436, 5.8436 Å; angles 136.16, 136.16, 63.74 degrees
Last column: nearest neighbours and their distance in Å.
Fractional positions:
Sr1 0.0000 0.0000 0.0000  8 As 3.09-3.30, 4 Se 3.30
As1 0.2500 0.7500 0.5000  4 Se 3.09, 4 As 3.30, 4 Sr 3.30
As2 0.5000 0.5000 0.0000  4 Sr 3.09, 4 As 3.30, 4 Se 3.30
Se1 0.7500 0.2500 0.5000  8 As 3.09-3.30, 4 Sr 3.30

Properties
density of states at the Fermi level: 2.8 states/eV/f.u.
DFT total energy: -15.7 eV for the cell shown



[3]
## Li4DyZn2 (PBE)

Data for Li4DyZn2 after structural relaxation.

Cell lengths 8.9203, 8.9203, 3.8095 Å; angles 90.00, 90.00, 153.19 degrees
Last column: nearest neighbours and their distance in Å.
Fractional positions:
Li1 0.1785 0.8215 0.0000  2 Zn 2.74, 4 Li 2.81
Li2 0.3186 0.6814 0.5000  2 Zn 2.65, 4 Li 2.81
Li3 0.6814 0.3186 0.5000  2 Zn 2.65, 4 Li 2.81
Li4 0.8215 0.1785 0.0000  2 Zn 2.74, 4 Li 2.81
Dy1 0.0000 0.0000 0.5000  8 Zn 3.10
Zn1 0.4251 0.5749 0.0000  1 Zn 2.60, 4 Li 2.65-2.74
Zn2 0.5749 0.4251 0.0000  1 Zn 2.60, 4 Li 2.65-2.74

Properties
density of states at the Fermi level: 5.0 states/eV/f.u.
energy of formation: -111.3 meV per atom



[4]
## Ca2LuHg (PBE)

Data for Ca2LuHg after structural relaxation.

Cell lengths 11.7783, 11.7783, 11.7783 Å; angles 17.75, 17.75, 17.75 degrees
Last column: nearest neighbours and their distance in Å.
Fractional positions:
Ca1 0.0976 0.0976 0.0976  3 Hg 3.19, 1 Lu 3.39
Ca2 0.9024 0.9024 0.9024  3 Hg 3.19, 1 Lu 3.39
Lu1 0.0000 0.0000 0.0000  2 Ca 3.39, 6 Lu 3.63
Hg1 0.5000 0.5000 0.5000  6 Ca 3.19

Properties
density of states at the Fermi level: 5.6 states/eV/f.u.
energy of formation: 67.9 meV per atom



[5]
## K3Rb2NaF6 (PBE)

Data for K3Rb2NaF6 after structural relaxation.

Cell lengths 6.6631, 6.6631, 6.6074 Å; angles 99.67, 99.67, 120.03 degrees
Last column: nearest neighbours and their distance in Å.
Fractional positions:
K1 0.0000 0.0000 0.0000  6 F 2.64-2.95
K2 0.3359 0.6641 0.0000  6 F 2.64-2.87
K3 0.6641 0.3359 0.0000  6 F 2.64-2.87
Rb1 0.1674 0.8326 0.5000  6 F 2.78-2.79
Rb2 0.8326 0.1674 0.5000  6 F 2.78-2.79
Na1 0.5000 0.5000 0.5000  6 F 2.48-2.58
F1 0.1080 0.4154 0.2480  1 Na 2.58, 3 K 2.64-2.87, 2 Rb 2.79
F2 0.2804 0.2804 0.7374  1 Na 2.48, 2 K 2.65
F3 0.4154 0.1080 0.2480  1 Na 2.58, 3 K 2.64-2.87, 2 Rb 2.79
F4 0.5846 0.8920 0.7520  1 Na 2.58, 3 K 2.64-2.87, 2 Rb 2.79
F5 0.7196 0.7196 0.2626  1 Na 2.48, 2 K 2.65
F6 0.8920 0.5846 0.7520  1 Na 2.58, 3 K 2.64-2.87, 2 Rb 2.79

Properties
density of states at the Fermi level: 0.0 states/eV/f.u.
DFT total energy: -49.9 eV for the cell shown



[6]
## Mn2ZnSn (PBE)

Data for Mn2ZnSn after structural relaxation.

Cell lengths 3.9564, 3.9564, 3.8798 Å; angles 90.00, 90.00, 90.00 degrees
Last column: nearest neighbours and their distance in Å.
Fractional positions:
Mn1 0.0000 0.5000 0.0000  4 Sn 2.77, 4 Zn 2.77, 4 Mn 2.80
Mn2 0.5000 0.0000 0.0000  4 Sn 2.77, 4 Zn 2.77, 4 Mn 2.80
Zn1 0.0000 0.0000 0.5000  8 Mn 2.77, 4 Sn 2.80
Sn1 0.5000 0.5000 0.5000  8 Mn 2.77, 4 Zn 2.80

Properties
density of states at the Fermi level: 1.8 states/eV/f.u.
energy of formation: 91.4 meV per atom



Copy entry 5 word for word.
## K3Rb2NaF6 (PBE)

Data for K3Rb2NaF6 after structural relaxation.

Cell lengths 6.6631, 6.6631, 6.6074 Å; angles 99.67, 99.67, 120.03 degrees
Last column: nearest neighbours and their distance in Å.
Fractional positions:
K1 0.0000 0.0000 0.0000  6 F 2.64-2.95
K2 0.3359 0.6641 0.0000  6 F 2.64-2.87
K3 0.6641 0.3359 0.0000  6 F 2.64-2.87
Rb1 0.1674 0.8326 0.5000  6 F 2.78-2.79
Rb2 0.8326 0.1674 0.5000  6 F 2.78-2.79
Na1 0.5000 0.5000 0.5000  6 F 2.48-2.58
F1 0.1080 0.4154 0.2480  1 Na 2.58, 3 K 2.64-2.87, 2 Rb 2.79
F2 0.2804 0.2804 0.7374  1 Na 2.48, 2 K 2.65
F3 0.4154 0.1080 0.2480  1 Na 2.58, 3 K 2.64-2.87, 2 Rb 2.79
F4 0.5846 0.8920 0.7520  1 Na 2.58, 3 K 2.64-2.87, 2 Rb 2.79
F5 0.7196 0.7196 0.2626  1 Na 2.48, 2 K 2.65
F6 0.8920 0.5846 0.7520  1 Na 2.58, 3 K 2.64-2.87, 2 Rb 2.79

Properties
density of states at the Fermi level: 0.0 states/eV/f.u.
DFT total energy: -49.9 eV for the cell shown



Q: The highest density of states at the Fermi level belongs to which entry?
A: Ca2LuHg



Q: Among the records above, which one has the highest density of states at the Fermi level?
A: Ca2LuHg